Computed, not measured: a geometry-optimized KCr2Os structure at the PBE level of DFT.

Values from the calculation:
DFT formation energy	1.0759	eV per atom
crystal system	orthorhombic

Cell: 2.6821 2.6821 10.0823 Å, 90.00 90.00 113.30°
Last column: nearest neighbours and their distance in Å.
Element x y z (fractional)
K1 0.0000 0.0000 0.0000  6 K 2.68-2.95
Cr1 0.5000 0.5000 0.2983  2 Os 2.51, 4 Cr 2.68
Cr2 0.5000 0.5000 0.7017  2 Os 2.51, 4 Cr 2.68
Os1 0.0000 0.0000 0.5000  4 Cr 2.51, 4 Os 2.68

***

Computed, not measured: a geometry-optimized KCr2Os structure at the PBE level of DFT.

Values from the calculation:
DFT formation energy	1.3912	eV per atom
crystal system	orthorhombic

Cell: 4.9994 4.9994 2.8619 Å, 90.00 90.00 101.17°
Last column: nearest neighbours and their distance in Å.
Element x y z (fractional)
K1 0.0000 0.0000 0.0000  2 K 2.86, 8 Cr 2.88, 2 Os 3.17
Cr1 0.0000 0.5000 0.5000  4 Cr 2.86-3.17, 4 K 2.88, 4 Os 2.88
Cr2 0.5000 0.0000 0.5000  4 Cr 2.86-3.17, 4 K 2.88, 4 Os 2.88
Os1 0.5000 0.5000 0.0000  2 Os 2.86, 8 Cr 2.88, 2 K 3.17

***

Computed, not measured: a geometry-optimized K2CrOs structure at the PBE level of DFT.

Values from the calculation:
DFT formation energy	1.4464	eV per atom
crystal system	tetragonal

Cell: 3.9279 3.9279 5.7264 Å, 90.00 90.00 90.00°
Last column: nearest neighbours and their distance in Å.
Element x y z (fractional)
K1 0.0000 0.5000 0.0000  4 K 2.78
K2 0.5000 0.0000 0.0000  4 K 2.78
Cr1 0.0000 0.0000 0.5000  4 Os 2.78
Os1 0.5000 0.5000 0.5000  4 Cr 2.78

***

Computed, not measured: a geometry-optimized KCr2Os structure at the PBE level of DFT.

Values from the calculation:
DFT formation energy	0.7883	eV per atom
crystal system	tetragonal

Cell: 2.9635 2.9635 8.5545 Å, 90.00 90.00 90.00°
Last column: nearest neighbours and their distance in Å.
Element x y z (fractional)
K1 0.0000 0.0000 0.0000  4 K 2.96
Cr1 0.0000 0.0000 0.4788  4 Os 2.50, 4 Cr 2.58
Cr2 0.5000 0.5000 0.6554  4 Cr 2.58, 1 Os 2.87
Os1 0.5000 0.5000 0.3198  4 Cr 2.50

***

Number 1: energy above the lowest structure with this stoichiometry 1.20 eV per formula unit, DOS at the Fermi energy 5.160 states/eV/f.u.. Number 2: energy above the lowest structure with this stoichiometry 2.46 eV per formula unit, DOS at the Fermi energy 4.396 states/eV/f.u.. Number 3: energy above the lowest structure with this stoichiometry 2.73 eV per formula unit, DOS at the Fermi energy 3.511 states/eV/f.u.. Number 4: energy above the lowest structure with this stoichiometry 0.05 eV per formula unit, DOS at the Fermi energy 3.344 states/eV/f.u..